Computed, not measured: a relaxed structure of CaPuWO6 at the PBE+U level of DFT.

- N(E_F) (states/eV/atom) = 0.522
- energy (eV per atom) = -8.5301
- space-group type = P-31c

Cell: 5.585 5.585 9.765 Å, 90.00 90.00 120.00°
Atoms (fractional coordinates):
Ca1 0.000 0.000 0.000
Ca2 0.000 0.000 0.500
Pu1 0.333 0.667 0.250
Pu2 0.667 0.333 0.750
W1 0.333 0.667 0.750
W2 0.667 0.333 0.250
O1 0.034 0.379 0.639
O2 0.034 0.655 0.861
O3 0.345 0.379 0.861
O4 0.345 0.966 0.639
O5 0.379 0.034 0.139
O6 0.379 0.345 0.361
O7 0.621 0.655 0.639
O8 0.621 0.966 0.861
O9 0.655 0.034 0.361
O10 0.655 0.621 0.139
O11 0.966 0.345 0.139
O12 0.966 0.621 0.361